(1)
Ga2Pb3I8: relaxed, PBE-GGA.

a b c (Å): 9.6799 9.6799 7.9840
angles (deg): 106.03 106.03 57.24
Closest atoms and distances in Å follow each position.
Sites, in units of the cell vectors:
Ga1 0.2419 0.2419 0.3313  6 I 3.23-3.54
Ga2 0.7581 0.7581 0.6687  6 I 3.23-3.54
Pb1 0.0000 0.0000 0.5000  6 I 3.26-3.27
Pb2 0.2641 0.7359 0.0000  6 I 3.17-3.37
Pb3 0.7359 0.2641 0.0000  6 I 3.17-3.37
I1 0.1179 0.1179 0.9126  3 Pb 3.27-3.37, 1 Ga 3.34
I2 0.1205 0.6392 0.5906  2 Ga 3.23-3.54, 2 Pb 3.26-3.27
I3 0.3608 0.8795 0.4094  2 Ga 3.23-3.54, 2 Pb 3.26-3.27
I4 0.3851 0.3851 0.0909  2 Pb 3.17, 1 Ga 3.54
I5 0.6149 0.6149 0.9091  2 Pb 3.17, 1 Ga 3.54
I6 0.6392 0.1205 0.5906  2 Ga 3.23-3.54, 2 Pb 3.26-3.27
I7 0.8795 0.3608 0.4094  2 Ga 3.23-3.54, 2 Pb 3.26-3.27
I8 0.8821 0.8821 0.0874  3 Pb 3.27-3.37, 1 Ga 3.34

As for the space-group type: C2/m (12). The calculation puts the energy at -0.10311 Ha/atom. For the size of the total moment, the calculation gives 0.000 μB per atom. Its volume is 597.2 Å³ per cell.

***

(2)
Ga2Pb2I: relaxed, PBE-GGA.

a b c (Å): 10.0738 10.0738 10.0738
angles (deg): 157.78 157.78 31.63
Closest atoms and distances in Å follow each position.
Sites, in units of the cell vectors:
Ga1 0.2500 0.7500 0.5000  4 Ga 2.75
Ga2 0.7500 0.2500 0.5000  4 Ga 2.75
Pb1 0.1212 0.1212 0.0000  4 Ga 3.16
Pb2 0.8788 0.8788 0.0000  4 Ga 3.16
I1 0.5000 0.5000 0.0000  8 Pb 3.61, 4 I 3.88

As for the space-group type: I4/mmm (139). The calculation puts the energy at -0.11238 Ha/atom. For the size of the total moment, the calculation gives 0.000 μB per atom. Its volume is 146.1 Å³ per cell.

***

(3)
GaPbI4: relaxed, PBE-GGA.

a b c (Å): 6.3708 6.3708 7.9450
angles (deg): 113.27 113.27 90.81
Closest atoms and distances in Å follow each position.
Sites, in units of the cell vectors:
Ga1 0.0000 0.0000 0.0000  4 I 2.79-2.97
Pb1 0.3070 0.6930 0.5000  6 I 3.21-3.26
I1 0.0593 0.4375 0.0038  1 Ga 2.79
I2 0.2805 0.1656 0.4454  1 Ga 2.97, 2 Pb 3.21
I3 0.5625 0.9407 0.9962  1 Ga 2.79
I4 0.8344 0.7195 0.5546  1 Ga 2.97, 2 Pb 3.21

As for the space-group type: C2 (5). The calculation puts the energy at -0.09487 Ha/atom. For the size of the total moment, the calculation gives 0.000 μB per atom. Its volume is 266.5 Å³ per cell.

***

(4)
Ga2Pb2I7: relaxed, PBE-GGA.

a b c (Å): 8.3700 8.3700 8.4936
angles (deg): 93.28 93.28 111.87
Closest atoms and distances in Å follow each position.
Sites, in units of the cell vectors:
Ga1 0.2291 0.2291 0.1099  3 I 2.79-2.98
Ga2 0.7709 0.7709 0.8901  3 I 2.79-2.98
Pb1 0.1775 0.8225 0.5000  6 I 3.26-3.30
Pb2 0.8225 0.1775 0.5000  6 I 3.26-3.30
I1 0.0872 0.0872 0.7503  2 Ga 3.20-3.31, 2 Pb 3.30
I2 0.0884 0.4588 0.2870  1 Ga 2.98, 2 Pb 3.26-3.29
I3 0.4588 0.0884 0.2870  1 Ga 2.98, 2 Pb 3.26-3.29
I4 0.5000 0.5000 0.0000  2 Ga 2.79
I5 0.5412 0.9116 0.7130  1 Ga 2.98, 2 Pb 3.26-3.29
I6 0.9116 0.5412 0.7130  1 Ga 2.98, 2 Pb 3.26-3.29
I7 0.9128 0.9128 0.2497  2 Ga 3.20-3.31, 2 Pb 3.30

As for the space-group type: C2/m (12). The calculation puts the energy at -0.09721 Ha/atom. For the size of the total moment, the calculation gives 0.000 μB per atom. Its volume is 549.3 Å³ per cell.

***

(5)
GaPbI: relaxed, PBE-GGA.

a b c (Å): 13.1863 4.0350 4.0350
angles (deg): 66.61 90.00 90.00
Closest atoms and distances in Å follow each position.
Sites, in units of the cell vectors:
Ga1 0.0000 0.0000 0.0000  6 Pb 3.05-3.09
Ga2 0.5000 0.0636 0.0636  6 I 3.18-3.24
Pb1 0.1426 0.3634 0.3634  3 Ga 3.05-3.09
Pb2 0.8574 0.3634 0.3634  3 Ga 3.05-3.09
I1 0.3377 0.7141 0.7141  3 Ga 3.18-3.24, 3 Pb 3.49-3.54
I2 0.6623 0.7141 0.7141  3 Ga 3.18-3.24, 3 Pb 3.49-3.54

As for the space-group type: Amm2 (38). The calculation puts the energy at -0.10556 Ha/atom. For the size of the total moment, the calculation gives 0.000 μB per atom. Its volume is 197.0 Å³ per cell.

***

(6)
Ga2Pb2I: relaxed, PBE-GGA.

a b c (Å): 6.9847 6.9847 6.9847
angles (deg): 138.48 138.48 60.17
Closest atoms and distances in Å follow each position.
Sites, in units of the cell vectors:
Ga1 0.1053 0.1053 0.0000  1 Ga 2.54
Ga2 0.8947 0.8947 0.0000  1 Ga 2.54
Pb1 0.2500 0.7500 0.5000  4 Ga 3.03
Pb2 0.7500 0.2500 0.5000  4 Ga 3.03
I1 0.5000 0.5000 0.0000  8 Ga 3.73, 8 Pb 3.91

As for the space-group type: I4/mmm (139). The calculation puts the energy at -0.10862 Ha/atom. For the size of the total moment, the calculation gives 0.000 μB per atom. Its volume is 148.2 Å³ per cell.

***

(7)
Ga2PbI8: relaxed, PBE-GGA.

a b c (Å): 11.6824 11.6824 13.8893
angles (deg): 125.16 125.16 50.90
Closest atoms and distances in Å follow each position.
Sites, in units of the cell vectors:
Ga1 0.1554 0.6615 0.9608  4 I 2.53-2.62
Ga2 0.3385 0.8446 0.5392  4 I 2.53-2.62
Ga3 0.6615 0.1554 0.4608  4 I 2.53-2.62
Ga4 0.8446 0.3385 0.0392  4 I 2.53-2.62
Pb1 0.4985 0.5015 0.2500  6 I 3.22-3.35
Pb2 0.5015 0.4985 0.7500  6 I 3.22-3.35
I1 0.1234 0.1880 0.0429  1 Ga 2.53
I2 0.1534 0.6463 0.7644  1 Ga 2.62
I3 0.1880 0.1234 0.5429  1 Ga 2.53
I4 0.2098 0.6649 0.3368  1 Ga 2.62
I5 0.2892 0.3783 0.9614  1 Ga 2.62
I6 0.3351 0.7902 0.1632  1 Ga 2.62
I7 0.3537 0.8466 0.7356  1 Ga 2.62
I8 0.3783 0.2892 0.4614  1 Ga 2.62
I9 0.6217 0.7108 0.5386  1 Ga 2.62
I10 0.6463 0.1534 0.2644  1 Ga 2.62
I11 0.6649 0.2098 0.8368  1 Ga 2.62
I12 0.7108 0.6217 0.0386  1 Ga 2.62
I13 0.7902 0.3351 0.6632  1 Ga 2.62
I14 0.8120 0.8766 0.4571  1 Ga 2.53
I15 0.8466 0.3537 0.2356  1 Ga 2.62
I16 0.8766 0.8120 0.9571  1 Ga 2.53

As for the space-group type: C2/c (15). The calculation puts the energy at -0.09382 Ha/atom. For the size of the total moment, the calculation gives 0.000 μB per atom. Its volume is 1133.0 Å³ per cell.

***

(8)
GaPbI3: relaxed, PBE-GGA.

a b c (Å): 8.6962 4.6603 12.7755
angles (deg): 90.00 107.54 90.00
Closest atoms and distances in Å follow each position.
Sites, in units of the cell vectors:
Ga1 0.0158 0.2500 0.1599  5 I 3.16-3.44
Ga2 0.9842 0.7500 0.8401  5 I 3.16-3.44
Pb1 0.4965 0.7500 0.3333  6 I 3.18-3.37
Pb2 0.5035 0.2500 0.6667  6 I 3.18-3.37
I1 0.2156 0.7500 0.0962  3 Ga 3.16-3.28, 1 Pb 3.27
I2 0.2728 0.2500 0.4101  3 Pb 3.29-3.37, 1 Ga 3.30
I3 0.3050 0.7500 0.7354  2 Pb 3.18, 1 Ga 3.44
I4 0.6950 0.2500 0.2646  2 Pb 3.18, 1 Ga 3.44
I5 0.7272 0.7500 0.5899  3 Pb 3.29-3.37, 1 Ga 3.30
I6 0.7844 0.2500 0.9038  3 Ga 3.16-3.28, 1 Pb 3.27

As for the space-group type: P2_1/m (11). The calculation puts the energy at -0.10189 Ha/atom. For the size of the total moment, the calculation gives 0.000 μB per atom. Its volume is 493.7 Å³ per cell.